(1)
Entry from Alexandria via LeMat-Bulk: an optimized crystal structure of TmTlS3 (PBE).

## Properties
* formation energy without anion corrections: -484 kJ/mol of formula units
* volume: 24.8 Å³/atom

CIF file:
```
data_TmTlS3
_cell_length_a 6.864
_cell_length_b 6.871
_cell_length_c 7.241
_cell_angle_alpha 90.13
_cell_angle_beta 118.17
_cell_angle_gamma 119.95
_symmetry_space_group_name_H-M 'P -1'
_symmetry_Int_Tables_number 2
_symmetry_space_group_name_Hall '-P 1'
loop_
_atom_site_label
_atom_site_type_symbol
_atom_site_fract_x
_atom_site_fract_y
_atom_site_fract_z
Tm1 Tm 0.196 0.348 0.044
Tl1 Tl 0.228 0.864 0.592
S1 S 0.009 0.055 0.250
S2 S 0.295 0.741 0.250
S3 S 0.305 0.546 0.750
```

(2)
Entry from Alexandria via LeMat-Bulk: an optimized crystal structure of Ce2NdMg2Sn2 (PBE).

## Properties
* density of states at the Fermi level: 38.6 states/eV per cell
* final energy: -4.2919 eV per atom
* volume: 26.7 Å³/atom

CIF file:
```
data_Ce2NdMg2Sn2
_cell_length_a 4.8053
_cell_length_b 4.8053
_cell_length_c 28.0133
_cell_angle_alpha 90.00
_cell_angle_beta 90.00
_cell_angle_gamma 120.00
_symmetry_space_group_name_H-M 'R -3 m'
_symmetry_Int_Tables_number 166
_symmetry_space_group_name_Hall '-R 3 2"'
loop_
_atom_site_label
_atom_site_type_symbol
_atom_site_fract_x
_atom_site_fract_y
_atom_site_fract_z
Ce1 Ce 0.0000 0.0000 0.1451
Nd1 Nd 0.0000 0.0000 0.0000
Mg1 Mg 0.0000 0.0000 0.4144
Sn1 Sn 0.0000 0.0000 0.2666
```

(3)
Entry from Alexandria via LeMat-Bulk: an optimized crystal structure of Cs2PdIBr6 (PBE).

## Properties
* density of states at the Fermi level: 5.1 states/eV per cell
* formation energy without anion corrections: -832 kJ/mol of formula units
* volume: 37.5 Å³/atom

CIF file:
```
data_Cs2PdIBr6
_cell_length_a 7.870
_cell_length_b 7.870
_cell_length_c 12.117
_cell_angle_alpha 90.00
_cell_angle_beta 90.00
_cell_angle_gamma 90.00
_symmetry_space_group_name_H-M 'I 4/m m m'
_symmetry_Int_Tables_number 139
_symmetry_space_group_name_Hall '-I 4 2'
loop_
_atom_site_label
_atom_site_type_symbol
_atom_site_fract_x
_atom_site_fract_y
_atom_site_fract_z
Cs1 Cs 0.000 0.500 0.250
Pd1 Pd 0.000 0.000 0.000
I1 I 0.000 0.000 0.500
Br1 Br 0.000 0.000 0.207
Br2 Br 0.234 0.234 0.000
```

(4)
Entry from Alexandria via LeMat-Bulk: an optimized crystal structure of Ta3NbGa4 (PBE).

## Properties
* density of states at the Fermi level: 9.5 states/eV per cell
* final energy: -7.3287 eV per atom
* volume: 17.4 Å³/atom

CIF file:
```
data_Ta3NbGa4
_cell_length_a 4.983
_cell_length_b 9.948
_cell_length_c 5.620
_cell_angle_alpha 90.00
_cell_angle_beta 90.00
_cell_angle_gamma 90.00
_symmetry_space_group_name_H-M 'P m m n'
_symmetry_Int_Tables_number 59
loop_
_symmetry_equiv_pos_as_xyz
'x,y,z'
'-x,-y,-z'
'-x+1/2,-y+1/2,z'
'x+1/2,y+1/2,-z'
'x+1/2,-y,-z'
'-x+1/2,y,z'
'-x,y+1/2,-z'
'x,-y+1/2,z'
loop_
_atom_site_label
_atom_site_type_symbol
_atom_site_fract_x
_atom_site_fract_y
_atom_site_fract_z
Ta1 Ta 0.250 0.001 0.115
Ta2 Ta 0.250 0.750 0.885
Nb1 Nb 0.250 0.250 0.885
Ga1 Ga 0.250 0.000 0.619
Ga2 Ga 0.250 0.250 0.381
Ga3 Ga 0.250 0.750 0.380
```

(5)
Entry from Alexandria via LeMat-Bulk: an optimized crystal structure of InPbCl2 (PBE).

## Properties
* density of states at the Fermi level: 0.5 states/eV per cell
* formation energy without anion corrections: -274 kJ/mol of formula units
* energy above the most stable polymorph in this dataset: 0.000 eV/atom
* volume: 29.9 Å³/atom

CIF file:
```
data_InPbCl2
_cell_length_a 3.616
_cell_length_b 4.256
_cell_length_c 7.774
_cell_angle_alpha 90.00
_cell_angle_beta 90.05
_cell_angle_gamma 90.00
_symmetry_space_group_name_H-M 'P 1 2/m 1'
_symmetry_Int_Tables_number 10
_symmetry_space_group_name_Hall '-P 2y'
loop_
_atom_site_label
_atom_site_type_symbol
_atom_site_fract_x
_atom_site_fract_y
_atom_site_fract_z
In1 In 0.000 0.000 0.000
Pb1 Pb 0.500 0.000 0.500
Cl1 Cl 0.498 0.500 0.766
```

(6)
Entry from Alexandria via LeMat-Bulk: an optimized crystal structure of Er6Ag2S (PBE).

## Properties
* density of states at the Fermi level: 19.5 states/eV per cell
* formation energy without anion corrections: -469 kJ/mol of formula units
* volume: 26.4 Å³/atom

CIF file:
```
data_Er6Ag2S
_cell_length_a 6.480
_cell_length_b 7.275
_cell_length_c 11.800
_cell_angle_alpha 90.00
_cell_angle_beta 121.24
_cell_angle_gamma 90.00
_symmetry_space_group_name_H-M 'P 1 21/c 1'
_symmetry_Int_Tables_number 14
_symmetry_space_group_name_Hall '-P 2ybc'
loop_
_atom_site_label
_atom_site_type_symbol
_atom_site_fract_x
_atom_site_fract_y
_atom_site_fract_z
Er1 Er 0.105 0.198 0.443
Er2 Er 0.274 0.672 0.439
Er3 Er 0.386 0.027 0.245
Ag1 Ag 0.172 0.109 0.739
S1 S 0.500 0.000 0.500
```

(7)
Entry from Alexandria via LeMat-Bulk: an optimized crystal structure of SrInGaHIr (PBE).

## Properties
* density of states at the Fermi level: 6.2 states/eV per cell
* energy above the most stable polymorph in this dataset: 0.218 eV/atom
* volume: 20.3 Å³/atom

CIF file:
```
data_SrInGaHIr
_cell_length_a 8.464
_cell_length_b 3.638
_cell_length_c 6.729
_cell_angle_alpha 90.00
_cell_angle_beta 101.24
_cell_angle_gamma 90.00
_symmetry_space_group_name_H-M 'C 1 m 1'
_symmetry_Int_Tables_number 8
_symmetry_space_group_name_Hall 'C -2y'
loop_
_atom_site_label
_atom_site_type_symbol
_atom_site_fract_x
_atom_site_fract_y
_atom_site_fract_z
Sr1 Sr 0.000 0.000 0.000
In1 In 0.268 0.500 0.350
Ga1 Ga 0.241 0.000 0.684
H1 H 0.491 0.500 0.611
Ir1 Ir 0.019 0.500 0.595
```

(8)
Entry from Alexandria via LeMat-Bulk: an optimized crystal structure of Te3Se (PBE).

## Properties
* density of states at the Fermi level: 2.8 states/eV per cell
* formation energy without anion corrections: 48 kJ/mol of formula units
* volume: 32.3 Å³/atom

CIF file:
```
data_Te3Se
_cell_length_a 4.152
_cell_length_b 8.520
_cell_length_c 7.314
_cell_angle_alpha 90.00
_cell_angle_beta 90.00
_cell_angle_gamma 90.00
_symmetry_space_group_name_H-M 'P m m n'
_symmetry_Int_Tables_number 59
loop_
_symmetry_equiv_pos_as_xyz
'x,y,z'
'-x,-y,-z'
'-x+1/2,-y+1/2,z'
'x+1/2,y+1/2,-z'
'x+1/2,-y,-z'
'-x+1/2,y,z'
'-x,y+1/2,-z'
'x,-y+1/2,z'
loop_
_atom_site_label
_atom_site_type_symbol
_atom_site_fract_x
_atom_site_fract_y
_atom_site_fract_z
Te1 Te 0.250 0.001 0.136
Te2 Te 0.250 0.750 0.634
Se1 Se 0.250 0.250 0.605
```

(9)
Entry from Alexandria via LeMat-Bulk: an optimized crystal structure of Zn4MoPb (PBE).

## Properties
* density of states at the Fermi level: 18.2 states/eV per cell
* final energy: -2.9285 eV per atom
* volume: 16.7 Å³/atom

CIF file:
```
data_Zn4MoPb
_cell_length_a 7.366
_cell_length_b 7.366
_cell_length_c 7.366
_cell_angle_alpha 90.00
_cell_angle_beta 90.00
_cell_angle_gamma 90.00
_symmetry_space_group_name_H-M 'F -4 3 m'
_symmetry_Int_Tables_number 216
_symmetry_space_group_name_Hall 'F -4 2 3'
loop_
_atom_site_label
_atom_site_type_symbol
_atom_site_fract_x
_atom_site_fract_y
_atom_site_fract_z
Zn1 Zn 0.123 0.123 0.123
Mo1 Mo 0.250 0.250 0.750
Pb1 Pb 0.000 0.000 0.500
```

(10)
Entry from Alexandria via LeMat-Bulk: an optimized crystal structure of LiAl2In (PBE).

## Properties
* density of states at the Fermi level: 1.8 states/eV per cell
* final energy: -2.9710 eV per atom
* volume: 19.3 Å³/atom

CIF file:
```
data_LiAl2In
_cell_length_a 2.979
_cell_length_b 2.979
_cell_length_c 8.709
_cell_angle_alpha 90.00
_cell_angle_beta 90.00
_cell_angle_gamma 90.00
_symmetry_space_group_name_H-M 'P 4/m m m'
_symmetry_Int_Tables_number 123
_symmetry_space_group_name_Hall '-P 4 2'
loop_
_atom_site_label
_atom_site_type_symbol
_atom_site_fract_x
_atom_site_fract_y
_atom_site_fract_z
Li1 Li 0.000 0.000 0.000
Al1 Al 0.500 0.500 0.225
In1 In 0.000 0.000 0.500
```

(11)
Entry from Alexandria via LeMat-Bulk: an optimized crystal structure of CaAcPd (PBE).

## Properties
* density of states at the Fermi level: 11.5 states/eV per cell
* energy above the most stable polymorph in this dataset: 0.073 eV/atom
* volume: 33.1 Å³/atom

CIF file:
```
data_CaAcPd
_cell_length_a 7.350
_cell_length_b 7.350
_cell_length_c 7.350
_cell_angle_alpha 90.00
_cell_angle_beta 90.00
_cell_angle_gamma 90.00
_symmetry_space_group_name_H-M 'F -4 3 m'
_symmetry_Int_Tables_number 216
_symmetry_space_group_name_Hall 'F -4 2 3'
loop_
_atom_site_label
_atom_site_type_symbol
_atom_site_fract_x
_atom_site_fract_y
_atom_site_fract_z
Ca1 Ca 0.000 0.000 0.000
Ac1 Ac 0.000 0.000 0.500
Pd1 Pd 0.250 0.250 0.750
```

(12)
Entry from Alexandria via LeMat-Bulk: an optimized crystal structure of PmPaCd2O6 (PBE).

## Properties
* density of states at the Fermi level: 0.0 states/eV per cell
* formation energy without anion corrections: -2436 kJ/mol of formula units
* volume: 15.4 Å³/atom

CIF file:
```
data_PmPaCd2O6
_cell_length_a 5.8497
_cell_length_b 5.8497
_cell_length_c 15.6340
_cell_angle_alpha 90.00
_cell_angle_beta 90.00
_cell_angle_gamma 120.00
_symmetry_space_group_name_H-M 'R 3'
_symmetry_Int_Tables_number 146
_symmetry_space_group_name_Hall 'R 3'
loop_
_atom_site_label
_atom_site_type_symbol
_atom_site_fract_x
_atom_site_fract_y
_atom_site_fract_z
Pm1 Pm 0.0000 0.0000 0.0000
Pa1 Pa 0.0000 0.0000 0.4943
Cd1 Cd 0.0000 0.0000 0.2781
Cd2 Cd 0.0000 0.0000 0.7837
O1 O 0.0367 0.3431 0.5642
O2 O 0.0497 0.6768 0.0696
```

Number 1: magnetic moment 0.000 μB/f.u.. Number 2: magnetic moment 2.814 μB/f.u.. Number 3: magnetic moment 0.000 μB/f.u.. Number 4: magnetic moment 0.000 μB/f.u.. Number 5: magnetic moment 0.000 μB/f.u.. Number 6: magnetic moment 0.000 μB/f.u.. Number 7: magnetic moment 0.000 μB/f.u.. Number 8: magnetic moment 0.000 μB/f.u.. Number 9: magnetic moment 0.002 μB/f.u.. Number 10: magnetic moment 0.000 μB/f.u.. Number 11: magnetic moment 0.000 μB/f.u.. Number 12: magnetic moment 0.000 μB/f.u..